Record 1
## BaTaSe2 (PBE)

Data for a relaxed structure of BaTaSe2.

```
BaTaSe2
1.0
0.0000 3.5959 3.5959
3.5959 0.0000 3.5959
3.5959 3.5959 0.0000
Ba Ta Se
1 1 2
direct
0.0000 0.0000 0.0000
0.5000 0.5000 0.5000
0.2500 0.2500 0.2500
0.7500 0.7500 0.7500
```

## Properties
Energy relative to the lowest polymorph listed for this composition ... 491 meV/atom
DOS at the Fermi energy ... 2.64 states/eV/f.u.
Symmetry ... Fm-3m, No. 225

---

Record 2
## ZrNiPt6 (PBE)

Data for a relaxed structure of ZrNiPt6.

```
ZrNiPt6
1.0
4.4614 -1.9898 0.0000
4.4614 1.9898 0.0000
-3.5354 0.0000 7.1120
Zr Ni Pt
1 1 6
direct
0.0000 0.0000 0.0000
0.0000 0.0000 0.5000
0.2458 0.2458 0.8645
0.2525 0.2525 0.3811
0.4982 0.4982 0.2517
0.5018 0.5018 0.7483
0.7475 0.7475 0.6189
0.7542 0.7542 0.1355
```

## Properties
Energy of formation from the pure elements ... -493 meV per atom
DOS at the Fermi energy ... 11.24 states/eV/f.u.
Symmetry ... C2/m, No. 12

---

Record 3
## Ca2NiSb4Pt3 (PBE)

Data for a relaxed structure of Ca2NiSb4Pt3.

```
Ca2NiSb4Pt3
1.0
4.5563 0.0000 0.0000
0.0000 4.5563 0.0000
0.0000 0.0000 10.9151
Ca Ni Sb Pt
2 1 4 3
direct
0.0000 0.5000 0.2285
0.5000 0.0000 0.7715
0.5000 0.5000 0.0000
0.0000 0.0000 0.5000
0.0000 0.5000 0.8751
0.5000 0.0000 0.1249
0.5000 0.5000 0.5000
0.0000 0.0000 0.0000
0.0000 0.5000 0.6360
0.5000 0.0000 0.3640
```

## Properties
DOS at the Fermi energy ... 5.29 states/eV/f.u.
Symmetry ... P-4m2, No. 115

---

Record 4
## Zr2Be2GaCo5 (PBE)

Data for a relaxed structure of Zr2Be2GaCo5.

```
Zr2Be2GaCo5
1.0
8.8094 0.0000 0.0000
0.0000 8.8094 0.0000
0.0000 0.0000 3.1513
Zr Be Ga Co
4 4 2 10
direct
0.1781 0.3219 0.0000
0.3219 0.8219 0.0000
0.6781 0.1781 0.0000
0.8219 0.6781 0.0000
0.1174 0.6174 0.0000
0.3826 0.1174 0.0000
0.6174 0.8826 0.0000
0.8826 0.3826 0.0000
0.0000 0.0000 0.0000
0.5000 0.5000 0.0000
0.0000 0.5000 0.5000
0.0665 0.7842 0.5000
0.2158 0.0665 0.5000
0.2842 0.5665 0.5000
0.4335 0.2842 0.5000
0.5000 0.0000 0.5000
0.5665 0.7158 0.5000
0.7158 0.4335 0.5000
0.7842 0.9335 0.5000
0.9335 0.2158 0.5000
```

## Properties
Energy of formation from the pure elements ... -392 meV per atom
DOS at the Fermi energy ... 6.73 states/eV/f.u.
Symmetry ... P4/mbm, No. 127

---

Record 5
## DyHoBi2 (PBE)

Data for a relaxed structure of DyHoBi2.

```
DyHoBi2
1.0
3.8655 -2.2351 0.0000
3.8655 2.2351 0.0000
-2.5881 0.0000 7.2861
Dy Ho Bi
1 1 2
direct
0.0000 0.0000 0.0000
0.5000 0.5000 0.5000
0.2496 0.2496 0.7489
0.7504 0.7504 0.2511
```

## Properties
Energy relative to the lowest polymorph listed for this composition ... 2 meV/atom
Energy of formation from the pure elements ... -847 meV per atom
DOS at the Fermi energy ... 0.74 states/eV/f.u.
Symmetry ... C2/m, No. 12

---

Record 6
## Er2PuGa6 (PBE)

Data for a relaxed structure of Er2PuGa6.

```
Er2PuGa6
1.0
-2.1581 3.5372 6.5339
2.1581 -3.5372 6.5339
2.1581 3.5372 -6.5339
Er Pu Ga
2 1 6
direct
0.1241 0.1241 0.0000
0.8759 0.8759 0.0000
0.5000 0.0000 0.5000
0.1208 0.3142 0.8066
0.1849 0.5000 0.6849
0.4924 0.6858 0.8066
0.5076 0.3142 0.1934
0.8151 0.5000 0.3151
0.8792 0.6858 0.1934
```

## Properties
Energy relative to the lowest polymorph listed for this composition ... 147 meV/atom
Energy of formation from the pure elements ... -376 meV per atom
DOS at the Fermi energy ... 14.88 states/eV/f.u.
Symmetry ... Immm, No. 71

---

Record 7
## As2WCl (PBE)

Data for a relaxed structure of As2WCl.

```
As2WCl
1.0
3.0764 0.0000 0.0000
0.0000 4.7009 0.0000
0.0000 0.0000 4.7106
As W Cl
2 1 1
direct
0.0000 0.0000 0.0000
0.5000 0.5000 0.0000
0.0000 0.5000 0.5000
0.5000 0.0000 0.5000
```

## Properties
Energy relative to the lowest polymorph listed for this composition ... 840 meV/atom
DOS at the Fermi energy ... 3.27 states/eV/f.u.
Symmetry ... Pmmm, No. 47

---

Record 8
## YBiIr3 (PBE)

Data for a relaxed structure of YBiIr3.

```
YBiIr3
1.0
4.9658 0.0000 0.0000
0.0000 4.9658 0.0000
0.0000 0.0000 4.9658
Y Bi Ir
1 1 3
direct
0.0000 0.0000 0.0000
0.5000 0.5000 0.5000
0.0000 0.5000 0.5000
0.5000 0.0000 0.5000
0.5000 0.5000 0.0000
```

## Properties
Energy of formation from the pure elements ... 1124 meV per atom
DOS at the Fermi energy ... 10.83 states/eV/f.u.
Symmetry ... Pm-3m, No. 221

---

What are the calculated density values for these records? In order: 8.5, 17.4, 8.9, 7.7, 9.8, 8.3, 9.0, 11.9 Mg/m³.
What are the energy values for these records? In order: -5.518, -6.814, -5.092, -6.702, -5.083, -5.000, -5.206, -6.262 eV per atom.
What are the total magnetic moment values for these records? In order: 1.000, 0.650, 0.000, 0.007, 0.000, 5.809, 0.000, 0.000 μB/f.u..